Below is crystalline Ba3ZnSn at its relaxed geometry, with properties calculated at the PBE level.

abc: 4.3368 9.8748 10.4136
angles: 86.73 89.98 77.38
Closest atoms and distances in Å follow each position.
Space group P1 (No. 1)
Unique sites:
1 Ba 0.0000 0.0000 0.0000  4 Sn 3.68-3.76, 1 Ba 3.81
2 Ba 0.0870 0.8268 0.3381  4 Sn 3.68-3.76, 1 Ba 3.81
3 Ba 0.2916 0.4163 0.9891  3 Zn 3.62-3.87, 3 Sn 3.62-3.71
4 Ba 0.4355 0.1277 0.5979  3 Zn 3.35-3.38, 1 Sn 3.63
5 Ba 0.6505 0.7003 0.7403  3 Zn 3.35-3.38, 1 Sn 3.63
6 Ba 0.7952 0.4107 0.3486  3 Sn 3.62-3.71, 3 Zn 3.62-3.87
7 Zn 0.2636 0.4736 0.6180  2 Zn 2.65
8 Zn 0.8225 0.3548 0.7201  2 Zn 2.65
9 Sn 0.4321 0.1359 0.2486  8 Ba 3.62-3.76
10 Sn 0.6547 0.6911 0.0893  8 Ba 3.62-3.76

Values from the calculation:
ΔE_f: -0.31 eV per atom
Energy above the lowest structure with this stoichiometry: 0.0 kJ per mole of atoms
Volume: 434 Å³ per cell


Below is crystalline Sr2CuSb3Pd4 at its relaxed geometry, with properties calculated at the PBE level.

abc: 4.6096 4.6096 10.6463
angles: 90.00 90.00 90.00
Closest atoms and distances in Å follow each position.
Space group P-4m2 (No. 115)
Unique sites:
1 Sr 0.0000 0.5000 0.2453  6 Sb 3.48-3.51, 2 Cu 3.48, 9 Pd 3.52-3.89
2 Cu 0.5000 0.5000 0.0000  4 Pd 2.64
3 Sb 0.0000 0.0000 0.0000  4 Pd 2.64
4 Sb 0.0000 0.5000 0.6321  5 Pd 2.64-2.70
5 Pd 0.0000 0.0000 0.5000  4 Sb 2.70
6 Pd 0.0000 0.5000 0.8798  2 Cu 2.64, 3 Sb 2.64
7 Pd 0.5000 0.5000 0.5000  4 Sb 2.70

Values from the calculation:
Uncorrected formation energy: -0.703 eV/atom
Volume: 226 Å³ per cell


Below is crystalline HgSeN2O at its relaxed geometry, with properties calculated at the PBE level.

abc: 4.0194 4.0194 4.3884
angles: 90.00 90.00 90.00
Closest atoms and distances in Å follow each position.
Space group P4/mmm (No. 123)
Unique sites:
1 Hg 0.0000 0.0000 0.0000  4 Se 2.84, 8 N 2.98
2 Se 0.5000 0.5000 0.0000  2 O 2.19
3 N 0.0000 0.5000 0.5000  2 O 2.01
4 O 0.5000 0.5000 0.5000  4 N 2.01, 2 Se 2.19

Values from the calculation:
Uncorrected formation energy: 2.054 eV/atom
Volume: 71 Å³ per cell


Below is crystalline NdEr2TmSc2 at its relaxed geometry, with properties calculated at the PBE level.

abc: 6.7440 9.4836 5.4477
angles: 90.00 90.00 90.00
Closest atoms and distances in Å follow each position.
Space group Pnnm (No. 58)
Unique sites:
1 Nd 0.0000 0.0000 0.0000  2 Tm 3.37, 6 Sc 3.57-3.58, 6 Er 3.57-3.58
2 Er 0.2468 0.3333 0.0000  5 Sc 3.15-3.39
3 Tm 0.0000 0.5000 0.5000  2 Nd 3.37, 6 Er 3.56-3.59, 6 Sc 3.57-3.58
4 Sc 0.2497 0.1668 0.5000  5 Er 3.15-3.39

Values from the calculation:
ΔE_f: 0.08 eV per atom
Volume: 348 Å³ per cell


Below is crystalline Sn2B2Os at its relaxed geometry, with properties calculated at the PBE level.

abc: 3.0468 3.0468 15.8173
angles: 90.00 90.00 90.00
Closest atoms and distances in Å follow each position.
Space group I4/mmm (No. 139)
Unique sites:
1 Sn 0.0000 0.0000 0.1139  4 B 2.64, 4 Os 2.81
2 B 0.0000 0.5000 0.2500  4 B 2.15
3 Os 0.0000 0.0000 0.5000  8 Sn 2.81, 4 Os 3.05

Values from the calculation:
ΔE_f: 1.01 eV per atom
Energy above the lowest structure with this stoichiometry: 0.0 kJ per mole of atoms
Volume: 147 Å³ per cell


Below is crystalline Ba7Cd2Rh2 at its relaxed geometry, with properties calculated at the PBE level.

abc: 7.7901 7.7904 8.1589
angles: 98.20 98.45 109.00
Closest atoms and distances in Å follow each position.
Space group P-1 (No. 2)
Unique sites:
1 Ba 0.0000 0.0000 0.0000  2 Cd 3.53, 2 Rh 3.77
2 Ba 0.0357 0.5848 0.2581  2 Rh 3.07-3.17
3 Ba 0.4141 0.9650 0.7418  2 Rh 3.07-3.17
4 Ba 0.4923 0.4916 0.2319  2 Rh 3.20-3.21
5 Cd 0.1468 0.1484 0.4436  1 Cd 3.03
6 Rh 0.2972 0.7029 0.0001  6 Ba 3.07-3.21

Values from the calculation:
ΔE_f: -0.20 eV per atom
Volume: 453 Å³ per cell


Below is crystalline CsMgTiZn2 at its relaxed geometry, with properties calculated at the PBE level.

abc: 6.2667 6.2667 6.3888
angles: 90.00 90.00 90.00
Closest atoms and distances in Å follow each position.
Space group P4/mmm (No. 123)
Unique sites:
1 Cs 0.0000 0.0000 0.0000  4 Zn 3.13, 2 Ti 3.19
2 Mg 0.5000 0.5000 0.5000  4 Ti 4.43, 8 Zn 4.47
3 Ti 0.0000 0.0000 0.5000  2 Cs 3.19
4 Zn 0.0000 0.5000 0.0000  2 Cs 3.13

Values from the calculation:
ΔE_f: 1.53 eV per atom
Volume: 251 Å³ per cell


Below is crystalline Na2SmRe3O12 at its relaxed geometry, with properties calculated at the PBE level.

abc: 7.4668 7.4668 15.4832
angles: 90.00 90.00 120.00
Closest atoms and distances in Å follow each position.
Space group R-3m (No. 166, hexagonal axes)
Unique sites:
1 Na 0.0000 0.0000 0.1295  3 O 2.32
2 Sm 0.0000 0.0000 0.5000  12 O 2.54-2.77
3 Re 0.0000 0.5000 0.0000  6 O 1.83-1.95
4 O 0.0412 0.5206 0.8829  1 Re 1.83
5 O 0.0912 0.5456 0.3141  2 Re 1.95

Values from the calculation:
Uncorrected formation energy: -1.809 eV/atom
Volume: 748 Å³ per cell


Short version: uncorrected energy = -2.52 -4.76 -3.02 -5.10 -5.51 -2.93 -1.04 -7.60 eV/atom, in the order given.